Nd3AgHg3Pt2: relaxed, GGA-PBE.

Unit cell a=7.9195 b=7.9195 c=3.9182 alpha=90.00 beta=90.00 gamma=120.00
Last column: nearest neighbours and their distance in Å.
Space group P-62m (No. 189)
Asymmetric unit:
Nd1 0.0000 0.4109 0.0000 [3 per cell]  4 Pt 3.09, 2 Hg 3.23, 1 Ag 3.25
Ag1 0.0000 0.0000 0.0000 [1 per cell]  6 Hg 2.87
Hg1 0.0000 0.7353 0.5000 [3 per cell]  2 Ag 2.87, 2 Pt 2.95
Pt1 0.3333 0.6667 0.5000 [2 per cell]  3 Hg 2.95, 6 Nd 3.09

Summary:
Total magnetic moment = 0.01 μB per formula unit
Theoretical density = 11.96 Mg/m³
Formation energy = -0.718 eV per atom
Electronic total energy = -36.58 eV/cell